(1)
Compound: Li2LaPmP2
Source: Alexandria via LeMat-Bulk
Functional: PBE
Structure: optimized geometry

Unit cell a=4.1869 b=4.1869 c=7.9107 alpha=90.00 beta=90.00 gamma=120.00
With the nearest neighbours (Å) after each atom.
Space group P-3m1 (No. 164)
One atom of each set of equivalent atoms:
Li: 0.3333 0.6667 0.2435 (multiplicity 2)  3 P 2.42
La: 0.0000 0.0000 0.5000 (multiplicity 1)  6 Li 3.16, 6 P 3.17
Pm: 0.0000 0.0000 0.0000 (multiplicity 1)  6 P 3.07, 6 Li 3.09
P: 0.3333 0.6667 0.7602 (multiplicity 2)  3 Li 2.42

Output
DFT total energy = -30.478 eV/cell

***

(2)
Compound: Li2LaPrP2
Source: Alexandria via LeMat-Bulk
Functional: PBE
Structure: optimized geometry

Unit cell a=4.1992 b=4.1992 c=8.0451 alpha=90.00 beta=90.00 gamma=120.00
With the nearest neighbours (Å) after each atom.
Space group P-3m1 (No. 164)
One atom of each set of equivalent atoms:
Li: 0.3333 0.6667 0.2536 (multiplicity 2)  3 P 2.42
La: 0.0000 0.0000 0.0000 (multiplicity 1)  6 P 3.17, 6 Li 3.17
Pr: 0.0000 0.0000 0.5000 (multiplicity 1)  6 Li 3.13, 6 P 3.13
P: 0.3333 0.6667 0.7466 (multiplicity 2)  3 Li 2.42

Output
DFT total energy = -30.486 eV/cell

***

(3)
Compound: LiLaP2Pt5
Source: Alexandria via LeMat-Bulk
Functional: PBE
Structure: optimized geometry

Unit cell a=4.1545 b=4.1545 c=9.6960 alpha=90.00 beta=90.00 gamma=90.00
With the nearest neighbours (Å) after each atom.
Space group P4/mmm (No. 123)
One atom of each set of equivalent atoms:
Li: 0.0000 0.0000 0.0000 (multiplicity 1)  8 Pt 2.59
La: 0.0000 0.0000 0.5000 (multiplicity 1)  4 Pt 2.94
P: 0.5000 0.5000 0.2644 (multiplicity 2)  5 Pt 2.28-2.31
Pt: 0.0000 0.5000 0.1593 (multiplicity 4)  2 P 2.31, 2 Li 2.59
Pt: 0.5000 0.5000 0.5000 (multiplicity 1)  2 P 2.28

Output
DFT total energy = -54.239 eV/cell

***

(4)
Compound: LiLa2P3Pt4
Source: Alexandria via LeMat-Bulk
Functional: PBE
Structure: optimized geometry

Unit cell a=4.2739 b=4.2739 c=9.8176 alpha=90.00 beta=90.00 gamma=90.00
With the nearest neighbours (Å) after each atom.
Space group P-4m2 (No. 115)
One atom of each set of equivalent atoms:
Li: 0.0000 0.0000 0.0000 (multiplicity 1)  4 Pt 2.45
La: 0.0000 0.5000 0.7478 (multiplicity 2)  6 P 3.22-3.27, 8 Pt 3.24-3.29, 2 Li 3.27
P: 0.0000 0.5000 0.3650 (multiplicity 2)  5 Pt 2.40-2.51
P: 0.5000 0.5000 0.0000 (multiplicity 1)  4 Pt 2.45
Pt: 0.0000 0.0000 0.5000 (multiplicity 1)  4 P 2.51
Pt: 0.0000 0.5000 0.1210 (multiplicity 2)  3 P 2.40-2.45, 2 Li 2.45
Pt: 0.5000 0.5000 0.5000 (multiplicity 1)  4 P 2.51

Output
DFT total energy = -62.638 eV/cell

***

(5)
Compound: LiLaP2Pt7
Source: Alexandria via LeMat-Bulk
Functional: PBE
Structure: optimized geometry

Unit cell a=4.1553 b=4.1553 c=24.7631 alpha=90.00 beta=90.00 gamma=90.00
With the nearest neighbours (Å) after each atom.
Space group I-4m2 (No. 119)
One atom of each set of equivalent atoms:
Li: 0.0000 0.0000 0.0000 (multiplicity 2)  4 Pt 2.16
La: 0.0000 0.5000 0.7500 (multiplicity 2)  12 Pt 2.94-3.08
P: 0.0000 0.5000 0.1110 (multiplicity 4)  5 Pt 2.17-2.39
Pt: 0.0000 0.0000 0.1580 (multiplicity 4)  2 P 2.38
Pt: 0.0000 0.0000 0.3413 (multiplicity 4)  2 P 2.39
Pt: 0.0000 0.5000 0.0232 (multiplicity 4)  2 Li 2.16, 1 P 2.17
Pt: 0.0000 0.5000 0.2500 (multiplicity 2)  4 La 2.94, 8 Pt 3.07-3.08

Output
DFT total energy = -127.513 eV/cell

***

(6)
Compound: LiLa2PPt
Source: Alexandria via LeMat-Bulk
Functional: PBE
Structure: optimized geometry

Unit cell a=5.4130 b=5.4130 c=4.1330 alpha=90.00 beta=90.00 gamma=90.00
With the nearest neighbours (Å) after each atom.
Space group P4/mmm (No. 123)
One atom of each set of equivalent atoms:
Li: 0.0000 0.0000 0.0000 (multiplicity 1)  2 Pt 2.07
La: 0.0000 0.5000 0.0000 (multiplicity 2)  2 Li 2.71
P: 0.5000 0.5000 0.5000 (multiplicity 1)  8 La 3.41
Pt: 0.0000 0.0000 0.5000 (multiplicity 1)  2 Li 2.07

Output
DFT total energy = -24.573 eV/cell

***

(7)
Compound: LiLaP2Pt8
Source: Alexandria via LeMat-Bulk
Functional: PBE
Structure: optimized geometry

Unit cell a=9.1371 b=5.6094 c=8.4971 alpha=90.00 beta=94.03 gamma=90.00
With the nearest neighbours (Å) after each atom.
Space group C2/m (No. 12)
One atom of each set of equivalent atoms:
Li: 0.0000 0.0000 0.0000 (multiplicity 2)  8 Pt 2.91-3.12
La: 0.0000 0.0000 0.5000 (multiplicity 2)  10 Pt 3.14-3.23, 4 P 3.43
P: 0.0021 0.5000 0.7316 (multiplicity 4)  5 Pt 2.24-2.50
Pt: 0.1415 0.5000 0.9591 (multiplicity 4)  1 P 2.24
Pt: 0.1550 0.5000 0.5221 (multiplicity 4)  2 P 2.34-2.50
Pt: 0.1901 0.2441 0.2370 (multiplicity 8)  1 P 2.30

Output
DFT total energy = -147.148 eV/cell

***

(8)
Compound: LiLaPRh6
Source: Alexandria via LeMat-Bulk
Functional: PBE
Structure: optimized geometry

Unit cell a=5.8914 b=9.1003 c=11.4576 alpha=90.00 beta=90.00 gamma=90.00
With the nearest neighbours (Å) after each atom.
Space group Imma (No. 74)
One atom of each set of equivalent atoms:
Li: 0.2500 0.2500 0.2500 (multiplicity 4)  6 Rh 2.53-2.54
La: 0.0000 0.2500 0.6767 (multiplicity 4)  6 Rh 2.81-3.03
P: 0.0000 0.0000 0.0000 (multiplicity 4)  6 Rh 2.21-2.37
Rh: 0.0000 0.2500 0.4306 (multiplicity 4)  2 Li 2.54, 4 Rh 2.63, 1 La 2.82
Rh: 0.0000 0.2500 0.9408 (multiplicity 4)  2 P 2.37
Rh: 0.2290 0.0154 0.3672 (multiplicity 16)  1 P 2.21

Output
DFT total energy = -232.030 eV/cell

***

(9)
Compound: LiLaP2Rh5
Source: Alexandria via LeMat-Bulk
Functional: PBE
Structure: optimized geometry

Unit cell a=4.0871 b=4.0871 c=8.7345 alpha=90.00 beta=90.00 gamma=90.00
With the nearest neighbours (Å) after each atom.
Space group P4/mmm (No. 123)
One atom of each set of equivalent atoms:
Li: 0.0000 0.0000 0.0000 (multiplicity 1)  8 Rh 2.96, 8 P 3.10
La: 0.0000 0.0000 0.5000 (multiplicity 1)  12 Rh 2.89-3.03
P: 0.5000 0.5000 0.1291 (multiplicity 2)  1 P 2.26, 4 Rh 2.28
Rh: 0.0000 0.5000 0.2446 (multiplicity 4)  2 P 2.28
Rh: 0.5000 0.5000 0.5000 (multiplicity 1)  4 La 2.89, 8 Rh 3.03

Output
DFT total energy = -60.506 eV/cell

***

(10)
Compound: LiLa2P3Rh12
Source: Alexandria via LeMat-Bulk
Functional: PBE
Structure: optimized geometry

Unit cell a=8.7878 b=8.7878 c=13.2345 alpha=90.00 beta=90.00 gamma=120.00
With the nearest neighbours (Å) after each atom.
Space group R-3m (No. 166, hexagonal axes)
One atom of each set of equivalent atoms:
Li: 0.0000 0.0000 0.0000 (multiplicity 3)  6 Rh 2.55
La: 0.0000 0.0000 0.3799 (multiplicity 6)  3 Rh 2.59
P: 0.0000 0.5000 0.5000 (multiplicity 9)  6 Rh 2.25-2.47
Rh: 0.0015 0.5008 0.3302 (multiplicity 18)  1 P 2.25
Rh: 0.0368 0.5184 0.8762 (multiplicity 18)  2 P 2.47, 1 Rh 2.75

Output
DFT total energy = -364.673 eV/cell

***

(11)
Compound: LiLaPS2
Source: Alexandria via LeMat-Bulk
Functional: PBE
Structure: optimized geometry

Unit cell a=4.6767 b=4.6767 c=4.3374 alpha=90.00 beta=90.00 gamma=90.00
With the nearest neighbours (Å) after each atom.
Space group P4/mmm (No. 123)
One atom of each set of equivalent atoms:
Li: 0.0000 0.0000 0.0000 (multiplicity 1)  2 P 2.17, 4 S 2.34
La: 0.5000 0.5000 0.5000 (multiplicity 1)  8 S 3.19, 4 P 3.31
P: 0.0000 0.0000 0.5000 (multiplicity 1)  2 Li 2.17
S: 0.0000 0.5000 0.0000 (multiplicity 2)  2 Li 2.34

Output
DFT total energy = -24.233 eV/cell

***

(12)
Compound: LiLaPS2
Source: Alexandria via LeMat-Bulk
Functional: PBE
Structure: optimized geometry

Unit cell a=5.5490 b=5.5490 c=5.8203 alpha=90.00 beta=90.00 gamma=90.00
With the nearest neighbours (Å) after each atom.
Space group P4/mmm (No. 123)
One atom of each set of equivalent atoms:
Li: 0.0000 0.0000 0.0000 (multiplicity 1)  4 P 3.92, 8 S 4.02
La: 0.5000 0.5000 0.5000 (multiplicity 1)  4 S 2.77, 2 P 2.91
P: 0.5000 0.5000 0.0000 (multiplicity 1)  2 La 2.91
S: 0.0000 0.5000 0.5000 (multiplicity 2)  2 La 2.77

Output
DFT total energy = -21.726 eV/cell

***

(13)
Compound: LiLaP2S
Source: Alexandria via LeMat-Bulk
Functional: PBE
Structure: optimized geometry

Unit cell a=5.6269 b=5.6269 c=5.5178 alpha=90.00 beta=90.00 gamma=90.00
With the nearest neighbours (Å) after each atom.
Space group P4/mmm (No. 123)
One atom of each set of equivalent atoms:
Li: 0.0000 0.0000 0.0000 (multiplicity 1)  8 P 3.94, 4 S 3.98
La: 0.5000 0.5000 0.5000 (multiplicity 1)  2 S 2.76, 4 P 2.81
P: 0.0000 0.5000 0.5000 (multiplicity 2)  2 La 2.81
S: 0.5000 0.5000 0.0000 (multiplicity 1)  2 La 2.76

Output
DFT total energy = -20.881 eV/cell

***

(14)
Compound: Li2LaPS
Source: Alexandria via LeMat-Bulk
Functional: PBE
Structure: optimized geometry

Unit cell a=4.1567 b=4.1567 c=6.3765 alpha=90.00 beta=90.00 gamma=90.00
With the nearest neighbours (Å) after each atom.
Space group P4mm (No. 99)
One atom of each set of equivalent atoms:
Li: 0.0000 0.5000 0.0000 (multiplicity 2)  2 S 2.31
La: 0.0000 0.0000 0.5906 (multiplicity 1)  1 S 2.76, 4 P 3.05
P: 0.5000 0.5000 0.7177 (multiplicity 1)  4 Li 2.75, 4 La 3.05
S: 0.0000 0.0000 0.1585 (multiplicity 1)  4 Li 2.31

Output
DFT total energy = -24.706 eV/cell

***

(15)
Compound: LiLaP2S
Source: Alexandria via LeMat-Bulk
Functional: PBE
Structure: optimized geometry

Unit cell a=4.3629 b=4.3629 c=4.9719 alpha=90.00 beta=90.00 gamma=90.00
With the nearest neighbours (Å) after each atom.
Space group P4/mmm (No. 123)
One atom of each set of equivalent atoms:
Li: 0.0000 0.0000 0.0000 (multiplicity 1)  4 P 2.18
La: 0.5000 0.5000 0.5000 (multiplicity 1)  4 S 3.09, 8 P 3.31
P: 0.0000 0.5000 0.0000 (multiplicity 2)  2 Li 2.18
S: 0.0000 0.0000 0.5000 (multiplicity 1)  2 Li 2.49

Output
DFT total energy = -24.240 eV/cell

***

(16)
Compound: Li2LaScP
Source: Alexandria via LeMat-Bulk
Functional: PBE
Structure: optimized geometry

Unit cell a=5.0711 b=5.0711 c=5.3562 alpha=90.00 beta=90.00 gamma=90.00
With the nearest neighbours (Å) after each atom.
Space group P4/mmm (No. 123)
One atom of each set of equivalent atoms:
Li: 0.0000 0.5000 0.0000 (multiplicity 2)  2 La 2.54
La: 0.0000 0.0000 0.0000 (multiplicity 1)  4 Li 2.54, 2 P 2.68
Sc: 0.5000 0.5000 0.5000 (multiplicity 1)  4 P 3.59, 8 Li 3.69
P: 0.0000 0.0000 0.5000 (multiplicity 1)  2 La 2.68

Output
DFT total energy = -17.050 eV/cell

***

(17)
Compound: SrLi2LaP
Source: Alexandria via LeMat-Bulk
Functional: PBE
Structure: optimized geometry

Unit cell a=5.6792 b=5.6792 c=5.5048 alpha=90.00 beta=90.00 gamma=90.00
With the nearest neighbours (Å) after each atom.
Space group P4/mmm (No. 123)
One atom of each set of equivalent atoms:
Sr: 0.0000 0.0000 0.0000 (multiplicity 1)  8 Li 3.95, 4 P 4.02
Li: 0.0000 0.5000 0.5000 (multiplicity 2)  2 La 2.84
La: 0.5000 0.5000 0.5000 (multiplicity 1)  2 P 2.75, 4 Li 2.84
P: 0.5000 0.5000 0.0000 (multiplicity 1)  2 La 2.75

Output
DFT total energy = -14.757 eV/cell

***

(18)
Compound: LiLa2TlP
Source: Alexandria via LeMat-Bulk
Functional: PBE
Structure: optimized geometry

Unit cell a=5.7263 b=5.7263 c=4.5412 alpha=90.00 beta=90.00 gamma=90.00
With the nearest neighbours (Å) after each atom.
Space group P4/mmm (No. 123)
One atom of each set of equivalent atoms:
Li: 0.0000 0.0000 0.0000 (multiplicity 1)  2 P 2.27
La: 0.0000 0.5000 0.5000 (multiplicity 2)  2 P 2.86
Tl: 0.5000 0.5000 0.0000 (multiplicity 1)  8 La 3.65, 4 Li 4.05
P: 0.0000 0.0000 0.5000 (multiplicity 1)  2 Li 2.27

Output
DFT total energy = -22.829 eV/cell

***

(19)
Compound: Li2LaPaS4
Source: Alexandria via LeMat-Bulk
Functional: PBE
Structure: optimized geometry

Unit cell a=6.6681 b=3.9668 c=7.0075 alpha=90.00 beta=110.55 gamma=90.00
With the nearest neighbours (Å) after each atom.
Space group P2/m (No. 10)
One atom of each set of equivalent atoms:
Li: 0.0000 0.0000 0.0000 (multiplicity 1)  6 S 2.69-2.72
Li: 0.0000 0.5000 0.5000 (multiplicity 1)  6 S 2.78-2.88
La: 0.5000 0.0000 0.5000 (multiplicity 1)  6 S 2.88-2.90
Pa: 0.5000 0.5000 0.0000 (multiplicity 1)  6 S 2.75-2.79
S: 0.2386 0.5000 0.2283 (multiplicity 2)  3 Li 2.69-2.88, 1 Pa 2.75, 2 La 2.88
S: 0.2406 0.0000 0.7568 (multiplicity 2)  3 Li 2.72-2.78, 2 Pa 2.79, 1 La 2.90

Output
DFT total energy = -47.690 eV/cell

***

(20)
Compound: Li3La2PaS6
Source: Alexandria via LeMat-Bulk
Functional: PBE
Structure: optimized geometry

Unit cell a=7.0041 b=12.2564 c=6.6116 alpha=90.00 beta=110.08 gamma=90.00
With the nearest neighbours (Å) after each atom.
Space group C2/m (No. 12)
One atom of each set of equivalent atoms:
Li: 0.0000 0.0000 0.0000 (multiplicity 2)  6 S 2.73-2.85
Li: 0.0000 0.3516 0.0000 (multiplicity 4)  4 S 2.61-2.68
La: 0.0000 0.1687 0.5000 (multiplicity 4)  6 S 2.90-2.91
Pa: 0.0000 0.5000 0.5000 (multiplicity 2)  6 S 2.73-2.74
S: 0.2359 0.5000 0.2456 (multiplicity 4)  3 Li 2.61-2.85, 1 Pa 2.73, 2 La 2.90
S: 0.2416 0.3437 0.7613 (multiplicity 8)  2 Li 2.68-2.73, 1 Pa 2.74, 2 La 2.90-2.91

Output
DFT total energy = -140.193 eV/cell